1.
Here is BaPb2Au after structural relaxation from OQMD via LeMat-Bulk. Energies are from PBE.

Cell and atoms, written as CIF:
```
data_BaPb2Au
_chemical_formula_sum 'Ba1 Pb2 Au1'
_symmetry_space_group_name_H-M 'P 1'
_symmetry_Int_Tables_number 1
_cell_length_a 5.5592
_cell_length_b 5.5592
_cell_length_c 5.5592
_cell_angle_alpha 60.00
_cell_angle_beta 60.00
_cell_angle_gamma 60.00
loop_
_symmetry_equiv_pos_as_xyz
'x,y,z'
loop_
_atom_site_label
_atom_site_type_symbol
_atom_site_fract_x
_atom_site_fract_y
_atom_site_fract_z
_atom_site_occupancy
Pb1 Pb 0.7500 0.7500 0.7500 1
Au1 Au 0.2500 0.2500 0.2500 1
Ba1 Ba 0.5000 0.5000 0.5000 1
Pb2 Pb 0.0000 0.0000 0.0000 1
```


2.
Here is BaPbAu2 after structural relaxation from OQMD via LeMat-Bulk. Energies are from PBE.

Cell and atoms, written as CIF:
```
data_BaPbAu2
_chemical_formula_sum 'Ba1 Pb1 Au2'
_symmetry_space_group_name_H-M 'P 1'
_symmetry_Int_Tables_number 1
_cell_length_a 5.3290
_cell_length_b 5.3290
_cell_length_c 5.3290
_cell_angle_alpha 60.00
_cell_angle_beta 60.00
_cell_angle_gamma 60.00
loop_
_symmetry_equiv_pos_as_xyz
'x,y,z'
loop_
_atom_site_label
_atom_site_type_symbol
_atom_site_fract_x
_atom_site_fract_y
_atom_site_fract_z
_atom_site_occupancy
Ba1 Ba 0.2500 0.2500 0.2500 1
Au1 Au 0.0000 0.0000 0.0000 1
Au2 Au 0.7500 0.7500 0.7500 1
Pb1 Pb 0.5000 0.5000 0.5000 1
```


3.
Here is Ba2PbAu after structural relaxation from OQMD via LeMat-Bulk. Energies are from PBE.

Cell and atoms, written as CIF:
```
data_Ba2PbAu
_chemical_formula_sum 'Ba2 Pb1 Au1'
_symmetry_space_group_name_H-M 'P 1'
_symmetry_Int_Tables_number 1
_cell_length_a 5.6969
_cell_length_b 5.6969
_cell_length_c 5.6969
_cell_angle_alpha 60.00
_cell_angle_beta 60.00
_cell_angle_gamma 60.00
loop_
_symmetry_equiv_pos_as_xyz
'x,y,z'
loop_
_atom_site_label
_atom_site_type_symbol
_atom_site_fract_x
_atom_site_fract_y
_atom_site_fract_z
_atom_site_occupancy
Ba1 Ba 0.0000 0.0000 0.0000 1
Ba2 Ba 0.7500 0.7500 0.7500 1
Au1 Au 0.5000 0.5000 0.5000 1
Pb1 Pb 0.2500 0.2500 0.2500 1
```


4.
Here is BaPbAu2 after structural relaxation from OQMD via LeMat-Bulk. Energies are from PBE.

Cell and atoms, written as CIF:
```
data_BaPbAu2
_chemical_formula_sum 'Ba1 Pb1 Au2'
_symmetry_space_group_name_H-M 'P 1'
_symmetry_Int_Tables_number 1
_cell_length_a 5.3290
_cell_length_b 5.3290
_cell_length_c 5.3290
_cell_angle_alpha 60.00
_cell_angle_beta 60.00
_cell_angle_gamma 60.00
loop_
_symmetry_equiv_pos_as_xyz
'x,y,z'
loop_
_atom_site_label
_atom_site_type_symbol
_atom_site_fract_x
_atom_site_fract_y
_atom_site_fract_z
_atom_site_occupancy
Ba1 Ba 0.5000 0.5000 0.5000 1
Au1 Au 0.7500 0.7500 0.7500 1
Au2 Au 0.0000 0.0000 0.0000 1
Pb1 Pb 0.2500 0.2500 0.2500 1
```


5.
Here is BaPb2Au after structural relaxation from OQMD via LeMat-Bulk. Energies are from PBE.

Cell and atoms, written as CIF:
```
data_BaPb2Au
_chemical_formula_sum 'Ba1 Pb2 Au1'
_symmetry_space_group_name_H-M 'P 1'
_symmetry_Int_Tables_number 1
_cell_length_a 5.5597
_cell_length_b 5.5597
_cell_length_c 5.5597
_cell_angle_alpha 60.00
_cell_angle_beta 60.00
_cell_angle_gamma 60.00
loop_
_symmetry_equiv_pos_as_xyz
'x,y,z'
loop_
_atom_site_label
_atom_site_type_symbol
_atom_site_fract_x
_atom_site_fract_y
_atom_site_fract_z
_atom_site_occupancy
Pb1 Pb 0.7500 0.7500 0.7500 1
Au1 Au 0.5000 0.5000 0.5000 1
Ba1 Ba 0.2500 0.2500 0.2500 1
Pb2 Pb 0.0000 0.0000 0.0000 1
```


6.
Here is Ba2Pd5Au5 after structural relaxation from OQMD via LeMat-Bulk. Energies are from PBE.

Cell and atoms, written as CIF:
```
data_Ba2Pd5Au5
_chemical_formula_sum 'Ba2 Pd5 Au5'
_symmetry_space_group_name_H-M 'P 1'
_symmetry_Int_Tables_number 1
_cell_length_a 4.4841
_cell_length_b 5.7276
_cell_length_c 9.9726
_cell_angle_alpha 90.00
_cell_angle_beta 90.00
_cell_angle_gamma 90.00
loop_
_symmetry_equiv_pos_as_xyz
'x,y,z'
loop_
_atom_site_label
_atom_site_type_symbol
_atom_site_fract_x
_atom_site_fract_y
_atom_site_fract_z
_atom_site_occupancy
Au1 Au 0.0000 0.0000 0.6667 1
Pd1 Pd 0.5000 0.7513 0.2505 1
Au2 Au 0.0000 0.5000 0.1736 1
Pd2 Pd 0.5000 0.7513 0.7495 1
Pd3 Pd 0.5000 0.2487 0.2505 1
Ba1 Ba 0.0000 0.0000 0.0000 1
Au3 Au 0.0000 0.0000 0.3333 1
Pd4 Pd 0.5000 0.0000 0.5000 1
Au4 Au 0.0000 0.5000 0.8264 1
Au5 Au 0.5000 0.5000 0.0000 1
Pd5 Pd 0.5000 0.2487 0.7495 1
Ba2 Ba 0.0000 0.5000 0.5000 1
```


Going through the records in order, we get E values of -3.47, -3.27, -3.03, -3.27, -3.47, -4.34 eV/atom.